(1)
Li2Mg2In2CuAu after structural relaxation. Source: OQMD via LeMat-Bulk, functional PBE.

Crystal system: tetragonal
SG: P-4m2 (115)
DFT total energy: -2.75 eV per atom

Lattice parameters (Å, degrees): 4.6123 4.6123 6.5214 90.00 90.00 90.00
With the nearest neighbours (Å) after each atom.
Atoms (fractional coordinates):
Au1 0.0000 0.0000 0.0000  4 Mg 2.84, 4 In 2.88
Cu1 0.5000 0.5000 0.5000  4 In 2.77, 4 Mg 2.81
In1 0.0000 0.5000 0.2639  2 Cu 2.77, 4 Li 2.77-2.88, 2 Au 2.88
In2 0.5000 0.0000 0.7361  4 Li 2.77-2.88, 2 Cu 2.77, 2 Au 2.88
Li1 0.5000 0.5000 0.0000  4 Mg 2.84, 4 In 2.88
Li2 0.0000 0.0000 0.5000  4 In 2.77, 4 Mg 2.81
Mg1 0.5000 0.0000 0.2533  4 Li 2.81-2.84, 2 Cu 2.81, 2 Au 2.84, 1 In 3.15
Mg2 0.0000 0.5000 0.7467  2 Cu 2.81, 4 Li 2.81-2.84, 2 Au 2.84, 1 In 3.15



(2)
Li2Sc2In2CuAu after structural relaxation. Source: OQMD via LeMat-Bulk, functional PBE.

Crystal system: tetragonal
SG: P-4m2 (115)
DFT total energy: -4.09 eV per atom
Spin magnetization: 0.002 μB/f.u.

Lattice parameters (Å, degrees): 4.6152 4.6152 6.5632 90.00 90.00 90.00
With the nearest neighbours (Å) after each atom.
Atoms (fractional coordinates):
Au1 0.0000 0.0000 0.0000  4 Sc 2.85, 4 In 2.88
Cu1 0.5000 0.5000 0.5000  4 In 2.79, 4 Sc 2.81
In1 0.5000 0.0000 0.2618  4 Li 2.79-2.88, 2 Cu 2.79, 2 Au 2.88
In2 0.0000 0.5000 0.7382  2 Cu 2.79, 4 Li 2.79-2.88, 2 Au 2.88
Li1 0.5000 0.5000 0.0000  4 Sc 2.85, 4 In 2.88
Li2 0.0000 0.0000 0.5000  4 In 2.79, 4 Sc 2.81
Sc1 0.0000 0.5000 0.2558  2 Cu 2.81, 4 Li 2.81-2.85, 2 Au 2.85
Sc2 0.5000 0.0000 0.7442  4 Li 2.81-2.85, 2 Cu 2.81, 2 Au 2.85



(3)
Li2ZnInCu2Au2 after structural relaxation. Source: OQMD via LeMat-Bulk, functional PBE.

Crystal system: tetragonal
SG: P-4m2 (115)
DFT total energy: -3.00 eV per atom

Lattice parameters (Å, degrees): 4.3846 4.3846 6.3714 90.00 90.00 90.00
With the nearest neighbours (Å) after each atom.
Atoms (fractional coordinates):
Au1 0.5000 0.0000 0.2721  4 Li 2.63-2.79, 2 Zn 2.63, 2 In 2.79, 1 Cu 2.90
Au2 0.0000 0.5000 0.7279  2 Zn 2.63, 4 Li 2.63-2.79, 2 In 2.79, 1 Cu 2.90
Cu1 0.0000 0.5000 0.2733  2 Zn 2.63, 4 Li 2.63-2.80, 2 In 2.80, 1 Au 2.90
Cu2 0.5000 0.0000 0.7267  4 Li 2.63-2.80, 2 Zn 2.63, 2 In 2.80, 1 Au 2.90
In1 0.0000 0.0000 0.0000  4 Au 2.79, 4 Cu 2.80, 4 Li 3.10
Li1 0.5000 0.5000 0.0000  4 Au 2.79, 4 Cu 2.80, 4 In 3.10
Li2 0.0000 0.0000 0.5000  4 Cu 2.63, 4 Au 2.63
Zn1 0.5000 0.5000 0.5000  4 Cu 2.63, 4 Au 2.63



(4)
LuInCuAu after structural relaxation. Source: OQMD via LeMat-Bulk, functional PBE.

Crystal system: cubic
SG: F-43m (216)
Spin magnetization: 0.000 μB/f.u.
Excess energy over the best structure of this formula in the dataset: 203.1 meV/atom

Lattice parameters (Å, degrees): 4.7617 4.7617 4.7617 60.00 60.00 60.00
With the nearest neighbours (Å) after each atom.
Atoms (fractional coordinates):
Au1 0.7500 0.7500 0.7500  4 In 2.92, 4 Cu 2.92
Cu1 0.5000 0.5000 0.5000  4 Lu 2.92, 4 Au 2.92
In1 0.0000 0.0000 0.0000  4 Lu 2.92, 4 Au 2.92
Lu1 0.2500 0.2500 0.2500  4 In 2.92, 4 Cu 2.92



(5)
LuInCuAu after structural relaxation. Source: OQMD via LeMat-Bulk, functional PBE.

Crystal system: cubic
SG: F-43m (216)
Spin magnetization: 0.000 μB/f.u.
Excess energy over the best structure of this formula in the dataset: 167.7 meV/atom

Lattice parameters (Å, degrees): 4.7938 4.7938 4.7938 60.00 60.00 60.00
With the nearest neighbours (Å) after each atom.
Atoms (fractional coordinates):
Au1 0.5000 0.5000 0.5000  4 Cu 2.94, 4 Lu 2.94
Cu1 0.7500 0.7500 0.7500  4 Au 2.94, 4 In 2.94
In1 0.0000 0.0000 0.0000  4 Lu 2.94, 4 Cu 2.94
Lu1 0.2500 0.2500 0.2500  4 In 2.94, 4 Au 2.94



(6)
LuInCuAu after structural relaxation. Source: OQMD via LeMat-Bulk, functional PBE.

Crystal system: cubic
SG: F-43m (216)
Spin magnetization: 0.000 μB/f.u.
Excess energy over the best structure of this formula in the dataset: 0.0 meV/atom

Lattice parameters (Å, degrees): 4.7754 4.7754 4.7754 60.00 60.00 60.00
With the nearest neighbours (Å) after each atom.
Atoms (fractional coordinates):
Au1 0.2500 0.2500 0.2500  4 Lu 2.92, 4 In 2.92
Cu1 0.7500 0.7500 0.7500  4 Lu 2.92, 4 In 2.92
In1 0.0000 0.0000 0.0000  4 Au 2.92, 4 Cu 2.92
Lu1 0.5000 0.5000 0.5000  4 Au 2.92, 4 Cu 2.92



(7)
Tm3MgIn2CuAu2 after structural relaxation. Source: OQMD via LeMat-Bulk, functional PBE.

Crystal system: orthorhombic
SG: Amm2 (38)
DFT total energy: -4.04 eV per atom
Spin magnetization: 0.001 μB/f.u.

Lattice parameters (Å, degrees): 3.8756 7.6514 7.6514 120.29 90.00 90.00
With the nearest neighbours (Å) after each atom.
Atoms (fractional coordinates):
Au1 0.5000 0.6563 0.3323  1 Mg 2.87, 2 In 2.97-2.99, 6 Tm 2.99-3.06
Au2 0.5000 0.3323 0.6563  1 Mg 2.87, 2 In 2.97-2.99, 6 Tm 2.99-3.06
Cu1 0.0000 0.0053 0.0053  2 Mg 2.67, 4 In 2.71
In1 0.5000 0.7569 0.0044  2 Cu 2.71, 2 Au 2.97-2.99
In2 0.5000 0.0044 0.7569  2 Cu 2.71, 2 Au 2.97-2.99
Mg1 0.5000 0.2455 0.2455  2 Cu 2.67, 2 Au 2.87
Tm1 0.0000 0.9973 0.4087  4 Au 3.00-3.06, 1 Cu 3.12, 4 In 3.27-3.31
Tm2 0.0000 0.5933 0.5933  4 Au 2.99, 1 Cu 3.14, 2 Mg 3.28
Tm3 0.0000 0.4087 0.9973  4 Au 3.00-3.06, 1 Cu 3.12, 4 In 3.27-3.31



(8)
InCuMoAu after structural relaxation. Source: OQMD via LeMat-Bulk, functional PBE.

Crystal system: cubic
SG: F-43m (216)
Spin magnetization: 2.102 μB/f.u.
Excess energy over the best structure of this formula in the dataset: 2.3 meV/atom

Lattice parameters (Å, degrees): 4.6085 4.6085 4.6085 60.00 60.00 60.00
With the nearest neighbours (Å) after each atom.
Atoms (fractional coordinates):
Au1 0.5000 0.5000 0.5000  4 Cu 2.82, 4 Mo 2.82
Cu1 0.7500 0.7500 0.7500  4 In 2.82, 4 Au 2.82
In1 0.0000 0.0000 0.0000  4 Cu 2.82, 4 Mo 2.82
Mo1 0.2500 0.2500 0.2500  4 In 2.82, 4 Au 2.82